# K2YCr

A geometry-optimized K2YCr structure (PBE-GGA, the Alexandria database).

```
K2YCr
1.0
-0.9596 -4.4479 0.6984
4.2432 -0.6546 1.6612
-2.8545 0.4049 13.8297
Cr Y K
2 2 4
Direct
0.5000 0.5000 0.0000
0.2500 0.7500 0.5000
0.7500 0.2500 0.5000
0.0000 0.0000 0.0000
0.3750 0.3891 0.7500
0.8750 0.8609 0.7500
0.1391 0.6250 0.2500
0.6109 0.1250 0.2500
```

Calculated values
Its energy above the most stable polymorph in this dataset is 348 meV per atom. Its crystal system is tetragonal. The size of the total moment is 4.11 μB/f.u. The value obtained for the formation energy is 919 meV/atom. Its space-group type is I-42d. The value obtained for the density of states at the Fermi level is 1.1082 states/eV per atom.

# AgPdAu2

A geometry-optimized AgPdAu2 structure (PBE-GGA, the Alexandria database).

```
AgPdAu2
1.0
2.9142 0.0000 0.0000
0.0000 2.9142 0.0000
0.0000 0.0000 8.1312
Ag Pd Au
1 1 2
Direct
0.5000 0.5000 0.5000
0.5000 0.5000 0.0000
0.0000 0.0000 0.2428
0.0000 0.0000 0.7572
```

Calculated values
Its energy above the most stable polymorph in this dataset is 19 meV per atom. Its crystal system is tetragonal. The size of the total moment is 0.00 μB/f.u. The value obtained for the formation energy is -73 meV/atom. Its space-group type is P4/mmm. The value obtained for the density of states at the Fermi level is 0.5314 states/eV per atom.

# KZnTc2O8

A geometry-optimized KZnTc2O8 structure (PBE-GGA, the Alexandria database).

```
KZnTc2O8
1.0
5.4079 -0.1444 0.0247
2.3665 4.8647 0.0247
0.3927 0.2385 7.9084
Tc K O Zn
2 1 8 1
Direct
0.6305 0.6305 0.2121
0.3695 0.3695 0.7879
0.0000 0.0000 0.5000
0.2986 0.2986 0.5887
0.7014 0.7014 0.4113
0.2724 0.7707 0.1904
0.7276 0.2293 0.8096
0.2293 0.7276 0.8096
0.2254 0.2254 0.9473
0.7746 0.7746 0.0527
0.7707 0.2724 0.1904
0.0000 0.0000 0.0000
```

Calculated values
Its formation energy from raw total energies is -142.8 kJ per mole of atoms. Its crystal system is monoclinic. The size of the total moment is 0.99 μB/f.u. Its space-group type is C2/m. The value obtained for the density of states at the Fermi level is 0.4618 states/eV per atom.